Entry 1:
Material: WSe2
Method: DFT, GGA-PBE
State: optimized geometry

abc: 4.433 4.433 4.433
angles: 60.00 60.00 60.00
Element x y z (fractional)
Se 0.750 0.750 0.750
W 0.000 0.000 0.000
Se 0.250 0.250 0.250

Properties
energy relative to the elements, uncorrected: 0.1786 eV per atom
M_tot: 0.610 μB/atom

=====

Entry 2:
Material: Zr2CuCl
Method: DFT, GGA-PBE
State: optimized geometry

abc: 4.868 4.868 4.868
angles: 60.00 60.00 60.00
Element x y z (fractional)
Zr 0.000 0.000 0.000
Zr 0.250 0.250 0.250
Cl 0.500 0.500 0.500
Cu 0.750 0.750 0.750

Properties
offset from the most stable computed form: 965 meV/atom
energy relative to the elements, uncorrected: 0.5738 eV per atom
M_tot: 0.783 μB/atom

=====

Entry 3:
Material: Na12CdBi7
Method: DFT, GGA-PBE
State: optimized geometry

abc: 8.810 8.810 8.810
angles: 95.06 95.06 95.06
Element x y z (fractional)
Na 0.156 0.411 0.444
Bi 0.629 0.891 0.982
Bi 0.982 0.629 0.891
Na 0.411 0.444 0.156
Na 0.844 0.589 0.556
Bi 0.891 0.982 0.629
Na 0.589 0.556 0.844
Na 0.556 0.844 0.589
Bi 0.109 0.018 0.371
Na 0.222 0.843 0.731
Na 0.157 0.269 0.778
Bi 0.371 0.109 0.018
Na 0.843 0.731 0.222
Na 0.731 0.222 0.843
Na 0.269 0.778 0.157
Na 0.778 0.157 0.269
Bi 0.500 0.500 0.500
Na 0.444 0.156 0.411
Cd 0.000 0.000 0.000
Bi 0.018 0.371 0.109

Properties
electronic total energy: -47.45 eV/cell
M_tot: 0.000 μB/atom

=====

Entry 4:
Material: ReSiSe2
Method: DFT, GGA-PBE
State: optimized geometry

abc: 7.208 7.208 7.208
angles: 149.32 153.65 40.88
Element x y z (fractional)
Re 0.750 0.250 0.500
Se 0.613 0.613 0.000
Se 0.887 0.887 0.000
Si 0.250 0.750 0.500

Properties
energy relative to the elements, uncorrected: 0.0487 eV per atom
M_tot: 0.000 μB/atom